This record from the Alexandria database describes an optimized crystal structure of NaUP2Se8. The functional is PBE.

Unit cell a=6.4558 b=6.4558 c=28.2052 alpha=90.00 beta=90.00 gamma=120.00
Space group R-3 (No. 148, hexagonal axes)
Symmetry-distinct sites (fractional):
Na 0.0000 0.0000 0.0000
U 0.0000 0.0000 0.5000
P 0.0000 0.0000 0.2509
Se 0.0000 0.0000 0.3263
Se 0.0111 0.6901 0.8904

Calculated values
Energy relative to the elements, uncorrected = -4.24 eV/f.u.
Energy = -4.6283 eV/atom
Calculated volume = 28.28 A^3/atom